This record from Alexandria describes a relaxed CoHg2TeO crystal. The functional is PBE with a Hubbard U.

```
5
Lattice="5.618 0.000 0.000 0.000 5.618 0.000 0.000 0.000 3.508" Properties=species:S:1:pos:R:3 pbc="T T T"
Co 0.000 0.000 0.000
Hg 0.000 2.809 0.000
Hg 2.809 0.000 0.000
Te 2.809 2.809 1.754
O 0.000 0.000 1.754
```

Summary:
**DOS(E_F)**: 1.8 states/eV per cell
**Theoretical density**: 9056 kg/m3
**DFT total energy**: -14.197 eV for the cell shown

***

This record from Alexandria describes a relaxed UCoHgO6 crystal. The functional is PBE with a Hubbard U.

```
9
Lattice="5.255 0.000 0.000 -2.627 4.551 0.000 0.000 0.000 4.978" Properties=species:S:1:pos:R:3 pbc="T T T"
U 0.000 0.000 0.000
Co 0.000 3.034 0.000
Hg 2.627 1.517 2.489
O -0.714 1.620 1.075
O -1.582 3.122 3.903
O 0.714 1.620 3.903
O -0.867 4.360 1.075
O 1.582 3.122 1.075
O 0.867 4.360 3.903
```

Summary:
**DOS(E_F)**: 5.6 states/eV per cell
**Theoretical density**: 8279 kg/m3
**DFT total energy**: -60.536 eV for the cell shown

***

This record from Alexandria describes a relaxed V2CoHgO6 crystal. The functional is PBE with a Hubbard U.

```
20
Lattice="5.334 -6.307 0.000 5.334 6.307 0.000 -2.069 0.000 5.584" Properties=species:S:1:pos:R:3 pbc="T T T"
V 1.858 1.004 0.667
V 0.824 -1.004 3.458
V 7.775 1.004 2.125
V 6.740 -1.004 4.917
Co 4.817 2.974 1.396
Co 3.782 -2.974 4.188
Hg 3.782 1.276 4.188
Hg 4.817 -1.276 1.396
O 2.595 4.253 5.505
O 1.246 0.127 2.124
O 3.229 1.894 1.111
O 0.211 -0.127 4.916
O 4.969 4.253 2.870
O 2.195 -1.894 3.902
O 6.404 1.894 1.681
O 3.630 -4.253 2.713
O 8.388 0.127 0.667
O 5.370 -1.894 4.473
O 7.353 -0.127 3.459
O 6.003 -4.253 0.078
```

Summary:
**Theoretical density**: 4044 kg/m3
**DFT total energy**: -129.871 eV for the cell shown